# 1
A relaxed structure of SmSeCl, computed with PBE-GGA.

## Properties
formation energy from raw total energies	-1967	meV per atom

a = 6.888 Å, b = 6.888 Å, c = 6.888 Å
α = 90.00°, β = 90.00°, γ = 90.00°
Space group F-43m (No. 216)
Asymmetric unit:
Sm (0.000, 0.000, 0.000) (multiplicity 4)
Se (0.250, 0.250, 0.750) (multiplicity 4)
Cl (0.250, 0.250, 0.250) (multiplicity 4)

***

# 2
A relaxed structure of DyYSc2Se4, computed with PBE-GGA.

## Properties
formation energy from raw total energies	-1668	meV per atom

a = 6.898 Å, b = 3.952 Å, c = 6.922 Å
α = 90.00°, β = 109.13°, γ = 90.00°
Space group P2/m (No. 10)
Asymmetric unit:
Dy (0.000, 0.000, 0.000) (multiplicity 1)
Y (0.500, 0.500, 0.000) (multiplicity 1)
Sc (0.000, 0.500, 0.500) (multiplicity 1)
Sc (0.500, 0.000, 0.500) (multiplicity 1)
Se (0.244, 0.000, 0.734) (multiplicity 2)
Se (0.255, 0.500, 0.266) (multiplicity 2)

***

# 3
A relaxed structure of MnZn2Ru, computed with PBE-GGA.

## Properties
final energy	-5.155	eV/atom

a = 5.231 Å, b = 8.683 Å, c = 2.645 Å
α = 90.00°, β = 111.62°, γ = 90.00°
Space group C2/m (No. 12)
Asymmetric unit:
Mn (0.000, 0.000, 0.000) (multiplicity 2)
Zn (0.250, 0.250, 0.500) (multiplicity 4)
Ru (0.000, 0.500, 0.000) (multiplicity 2)

***

# 4
A relaxed structure of SrPmTlAg, computed with PBE-GGA.

## Properties
final energy	-3.243	eV/atom

a = 3.853 Å, b = 3.853 Å, c = 8.048 Å
α = 90.00°, β = 90.00°, γ = 90.00°
Space group P4mm (No. 99)
Asymmetric unit:
Sr (0.000, 0.000, 0.000) (multiplicity 1)
Pm (0.000, 0.000, 0.525) (multiplicity 1)
Tl (0.500, 0.500, 0.280) (multiplicity 1)
Ag (0.500, 0.500, 0.734) (multiplicity 1)

***

# 5
A relaxed structure of SrLiCeTl, computed with PBE-GGA.

## Properties
final energy	-3.037	eV/atom

a = 7.932 Å, b = 7.932 Å, c = 7.932 Å
α = 90.00°, β = 90.00°, γ = 90.00°
Space group F-43m (No. 216)
Asymmetric unit:
Sr (0.000, 0.000, 0.000) (multiplicity 4)
Li (0.250, 0.250, 0.750) (multiplicity 4)
Ce (0.000, 0.000, 0.500) (multiplicity 4)
Tl (0.250, 0.250, 0.250) (multiplicity 4)

***

# 6
A relaxed structure of BaCu2Au, computed with PBE-GGA.

## Properties
final energy	-3.377	eV/atom

a = 4.597 Å, b = 5.858 Å, c = 7.326 Å
α = 90.00°, β = 90.00°, γ = 90.00°
Space group Immm (No. 71)
Asymmetric unit:
Ba (0.000, 0.000, 0.000) (multiplicity 2)
Cu (0.000, 0.500, 0.170) (multiplicity 4)
Au (0.000, 0.000, 0.500) (multiplicity 2)